This record from Alexandria via LeMat-Bulk describes ZrIrSe2 after structural relaxation. The functional is PBE.

abc: 3.9336 4.5715 4.5697
angles: 86.36 90.00 90.00
Sites, in units of the cell vectors:
Se: 0.0000 0.5213 0.5213
Se: 0.0000 0.9787 0.9787
Zr: 0.5000 0.2500 0.2500
Ir: 0.5000 0.7500 0.7500

Calculated values
Uncorrected formation energy, eV/atom: -0.223
E above lowest polymorph, eV/atom: 0.4861
Spin magnetization, μB/f.u.: 0.0
SG: No. 65
Calculated total energy, eV per atom: -6.318

***

This record from Alexandria via LeMat-Bulk describes Zr2IrSe after structural relaxation. The functional is PBE.

abc: 4.7499 4.7499 4.7499
angles: 60.00 60.00 60.00
Site moments in Bohr magnetons follow the coordinates.
Sites, in units of the cell vectors:
Zr: 0.2500 0.2500 0.2500  0.40
Zr: 0.0000 0.0000 0.0000  0.74
Se: 0.7500 0.7500 0.7500  -0.02
Ir: 0.5000 0.5000 0.5000  0.10

Calculated values
Uncorrected formation energy, eV/atom: -0.016
Spin magnetization, μB/f.u.: 1.7
SG: No. 216
Calculated total energy, eV per atom: -7.377